1.
# Sr2HgSb4

Sr2HgSb4 after structural relaxation (PBE-GGA, the Alexandria database).

Its crystal system is tetragonal.

The space group is I4/mmm (No. 139) and the conventional cell measures 6.569, 6.569 and 10.416 Å, with angles of 90.00, 90.00 and 90.00 degrees. The inequivalent atoms are Sr at (0.000, 0.500, 0.000), Hg at (0.000, 0.000, 0.000) and Sb at (0.250, 0.250, 0.250).


2.
# SrHg3Sb

SrHg3Sb after structural relaxation (PBE-GGA, the Alexandria database).

Its crystal system is orthorhombic. The distance to the lowest polymorph of the same formula is 0.0000 eV/atom.

The space group is Pmn2_1 (No. 31) and the conventional cell measures 6.492, 6.856 and 6.688 Å, with angles of 90.00, 90.00 and 90.00 degrees. The inequivalent atoms are Sr at (0.000, 0.244, 0.000), Hg at (0.000, 0.895, 0.652), Hg at (0.250, 0.232, 0.505) and Sb at (0.000, 0.592, 0.353).


3.
# SrHg2Sb

SrHg2Sb after structural relaxation (PBE-GGA, the Alexandria database).

Its crystal system is orthorhombic.

The space group is Pmm2 (No. 25) and the conventional cell measures 3.666, 4.811 and 6.879 Å, with angles of 90.00, 90.00 and 90.00 degrees. The inequivalent atoms are Sr at (0.000, 0.000, 0.000), Hg at (0.000, 0.000, 0.489), Hg at (0.500, 0.500, 0.310) and Sb at (0.500, 0.500, 0.774).


4.
# Sr3Hg2Sb3

Sr3Hg2Sb3 after structural relaxation (PBE-GGA, the Alexandria database).

Its crystal system is orthorhombic.

The space group is Cmcm (No. 63) and the conventional cell measures 4.774, 12.726 and 16.796 Å, with angles of 90.00, 90.00 and 90.00 degrees. The inequivalent atoms are Sr at (0.000, 0.069, 0.107), Sr at (0.000, 0.330, 0.250), Hg at (0.000, 0.237, 0.601), Sb at (0.000, 0.384, 0.049) and Sb at (0.000, 0.391, 0.750).


5.
# SrHg4Sb

SrHg4Sb after structural relaxation (PBE-GGA, the Alexandria database).

Its crystal system is cubic.

The space group is F-43m (No. 216) and the conventional cell measures 8.788, 8.788 and 8.788 Å, with angles of 90.00, 90.00 and 90.00 degrees. The inequivalent atoms are Sr at (0.000, 0.000, 0.000), Hg at (0.124, 0.124, 0.624) and Sb at (0.250, 0.250, 0.250).


6.
# SrTbHgSb

SrTbHgSb after structural relaxation (PBE-GGA, the Alexandria database).

Its crystal system is cubic.

The space group is F-43m (No. 216) and the conventional cell measures 7.764, 7.764 and 7.764 Å, with angles of 90.00, 90.00 and 90.00 degrees. The inequivalent atoms are Sr at (0.000, 0.000, 0.000), Tb at (0.000, 0.000, 0.500), Hg at (0.250, 0.250, 0.750) and Sb at (0.250, 0.250, 0.250).


7.
# SrTl2Hg2Sb2

SrTl2Hg2Sb2 after structural relaxation (PBE-GGA, the Alexandria database).

Its crystal system is trigonal.

The space group is R-3m (No. 166, hexagonal axes) and the conventional cell measures 5.0065, 5.0065 and 31.0716 Å, with angles of 90.00, 90.00 and 120.00 degrees. The inequivalent atoms are Sr at (0.0000, 0.0000, 0.0000), Tl at (0.0000, 0.0000, 0.1355), Hg at (0.0000, 0.0000, 0.3856) and Sb at (0.0000, 0.0000, 0.2545).


8.
# SrZnHg2Sb

SrZnHg2Sb after structural relaxation (PBE-GGA, the Alexandria database).

Its crystal system is tetragonal.

The space group is P4/mmm (No. 123) and the conventional cell measures 5.176, 5.176 and 5.572 Å, with angles of 90.00, 90.00 and 90.00 degrees. The inequivalent atoms are Sr at (0.000, 0.000, 0.000), Zn at (0.500, 0.500, 0.500), Hg at (0.000, 0.500, 0.500) and Sb at (0.500, 0.500, 0.000).


9.
# Sr2ZnHgSb

Sr2ZnHgSb after structural relaxation (PBE-GGA, the Alexandria database).

Its crystal system is tetragonal.

The space group is P4/mmm (No. 123) and the conventional cell measures 6.075, 6.075 and 4.920 Å, with angles of 90.00, 90.00 and 90.00 degrees. The inequivalent atoms are Sr at (0.000, 0.500, 0.000), Zn at (0.000, 0.000, 0.500), Hg at (0.000, 0.000, 0.000) and Sb at (0.500, 0.500, 0.500).


10.
# TaHgSb2

TaHgSb2 after structural relaxation (PBE-GGA, the Alexandria database).

Its crystal system is tetragonal.

The space group is I4/mmm (No. 139) and the conventional cell measures 4.620, 4.620 and 8.496 Å, with angles of 90.00, 90.00 and 90.00 degrees. The inequivalent atoms are Ta at (0.000, 0.000, 0.000), Hg at (0.000, 0.000, 0.500) and Sb at (0.000, 0.500, 0.250).


11.
# Ta2HgSb

Ta2HgSb after structural relaxation (PBE-GGA, the Alexandria database).

Its crystal system is trigonal. The distance to the lowest polymorph of the same formula is 0.0849 eV/atom.

The space group is R3m (No. 160, hexagonal axes) and the conventional cell measures 3.2912, 3.2912 and 28.1848 Å, with angles of 90.00, 90.00 and 120.00 degrees. The inequivalent atoms are Ta at (0.0000, 0.0000, 0.0000), Ta at (0.0000, 0.0000, 0.2631), Hg at (0.0000, 0.0000, 0.7490) and Sb at (0.0000, 0.0000, 0.5168).


12.
# Ta2HgSb

Ta2HgSb after structural relaxation (PBE-GGA, the Alexandria database).

Its crystal system is orthorhombic. The distance to the lowest polymorph of the same formula is 0.1686 eV/atom.

The space group is Immm (No. 71) and the conventional cell measures 3.560, 4.893 and 9.163 Å, with angles of 90.00, 90.00 and 90.00 degrees. The inequivalent atoms are Ta at (0.000, 0.000, 0.243), Hg at (0.000, 0.500, 0.000) and Sb at (0.000, 0.500, 0.500).


| no. | total magnetization (Bohr magnetons per cell) | formation energy without anion corrections (eV per atom) |
| --- | --- | --- |
| 1 | 0.000 | -0.491 |
| 2 | 0.000 | -0.340 |
| 3 | 0.000 | -0.334 |
| 4 | 0.000 | -0.669 |
| 5 | 0.001 | -0.172 |
| 6 | 0.001 | -0.591 |
| 7 | 0.000 | -0.254 |
| 8 | 0.000 | -0.238 |
| 9 | 0.000 | -0.215 |
| 10 | 1.517 | 0.476 |
| 11 | 0.000 | 0.283 |
| 12 | 0.000 | 0.366 |